# LuZn4FeO7 GGA-PBEsol optimized geometry
data_LuZn4FeO7
_space_group_name_H-M_alt 'P 63/m m c'
_space_group_IT_number 194
_space_group_name_Hall '-P 6c 2c'
_cell_length_a 3.2859
_cell_length_b 3.2859
_cell_length_c 32.4986
_cell_angle_alpha 90.00
_cell_angle_beta 90.00
_cell_angle_gamma 120.00
loop_
_atom_site_label
_atom_site_type_symbol
_atom_site_fract_x
_atom_site_fract_y
_atom_site_fract_z
Lu1 Lu 0.0000 0.0000 0.0000
Zn1 Zn 0.0000 0.0000 0.1730
Zn2 Zn 0.3333 0.6667 0.0933
Fe1 Fe 0.3333 0.6667 0.2500
O1 O 0.0000 0.0000 0.1123
O2 O 0.0000 0.0000 0.2500
O3 O 0.3333 0.6667 0.0332
O4 O 0.3333 0.6667 0.1909
# VASP energy   -6.189 eV/atom
# Size of the total moment   0.208 μB per atom
# Crystal system   hexagonal



# LuZnFeO4 GGA-PBEsol optimized geometry
data_LuZnFeO4
_space_group_name_H-M_alt 'R 3 m'
_space_group_IT_number 160
_space_group_name_Hall 'R 3 -2"'
_cell_length_a 3.3495
_cell_length_b 3.3495
_cell_length_c 24.8803
_cell_angle_alpha 90.00
_cell_angle_beta 90.00
_cell_angle_gamma 120.00
loop_
_atom_site_label
_atom_site_type_symbol
_atom_site_fract_x
_atom_site_fract_y
_atom_site_fract_z
Lu1 Lu 0.0000 0.0000 0.0000
Zn1 Zn 0.0000 0.0000 0.7875
Fe1 Fe 0.0000 0.0000 0.2183
O1 O 0.0000 0.0000 0.1419
O2 O 0.0000 0.0000 0.2932
O3 O 0.0000 0.0000 0.7088
O4 O 0.0000 0.0000 0.8856
# VASP energy   -7.345 eV/atom
# Size of the total moment   0.403 μB per atom
# Crystal system   trigonal



# LuFe6Sn6 GGA-PBEsol optimized geometry
data_LuFe6Sn6
_space_group_name_H-M_alt 'P 6/m m m'
_space_group_IT_number 191
_space_group_name_Hall '-P 6 2'
_cell_length_a 5.3017
_cell_length_b 5.3017
_cell_length_c 8.7610
_cell_angle_alpha 90.00
_cell_angle_beta 90.00
_cell_angle_gamma 120.00
loop_
_atom_site_label
_atom_site_type_symbol
_atom_site_fract_x
_atom_site_fract_y
_atom_site_fract_z
Lu1 Lu 0.0000 0.0000 0.0000
Fe1 Fe 0.0000 0.5000 0.2465
Sn1 Sn 0.0000 0.0000 0.3356
Sn2 Sn 0.3333 0.6667 0.0000
Sn3 Sn 0.3333 0.6667 0.5000
# Size of the total moment   0.918 μB per atom
# Energy relative to the elements   -136 meV per atom
# Crystal system   hexagonal



# Mg5Fe GGA-PBEsol optimized geometry
data_Mg5Fe
_space_group_name_H-M_alt 'P 6/m m m'
_space_group_IT_number 191
_space_group_name_Hall '-P 6 2'
_cell_length_a 5.5428
_cell_length_b 5.5428
_cell_length_c 5.0144
_cell_angle_alpha 90.00
_cell_angle_beta 90.00
_cell_angle_gamma 120.00
loop_
_atom_site_label
_atom_site_type_symbol
_atom_site_fract_x
_atom_site_fract_y
_atom_site_fract_z
Mg1 Mg 0.0000 0.5000 0.0000
Mg2 Mg 0.3333 0.6667 0.5000
Fe1 Fe 0.0000 0.0000 0.5000
# Size of the total moment   0.460 μB per atom
# Energy relative to the elements   597 meV per atom
# ΔE to the lowest computed polymorph   405 meV per atom
# Crystal system   hexagonal



# MgFe2 GGA-PBEsol optimized geometry
data_MgFe2
_space_group_name_H-M_alt 'C m c m'
_space_group_IT_number 63
_space_group_name_Hall '-C 2c 2'
_cell_length_a 2.529
_cell_length_b 14.216
_cell_length_c 4.333
_cell_angle_alpha 90.00
_cell_angle_beta 90.00
_cell_angle_gamma 90.00
loop_
_atom_site_label
_atom_site_type_symbol
_atom_site_fract_x
_atom_site_fract_y
_atom_site_fract_z
Mg1 Mg 0.000 0.116 0.250
Fe1 Fe 0.000 0.214 0.750
Fe2 Fe 0.000 0.450 0.250
# Size of the total moment   1.521 μB per atom
# Energy relative to the elements   326 meV per atom
# Crystal system   orthorhombic



# MgFe2 GGA-PBEsol optimized geometry
data_MgFe2
_space_group_name_H-M_alt 'F m m m'
_space_group_IT_number 69
_space_group_name_Hall '-F 2 2'
_cell_length_a 3.082
_cell_length_b 4.191
_cell_length_c 12.249
_cell_angle_alpha 90.00
_cell_angle_beta 90.00
_cell_angle_gamma 90.00
loop_
_atom_site_label
_atom_site_type_symbol
_atom_site_fract_x
_atom_site_fract_y
_atom_site_fract_z
Mg1 Mg 0.000 0.000 0.000
Fe1 Fe 0.000 0.000 0.322
# Size of the total moment   1.488 μB per atom
# Energy relative to the elements   289 meV per atom
# Crystal system   orthorhombic



> Which value of size of the total moment does entry 1 give?

0.208 μB per atom



> Which value of size of the total moment does entry 2 give?

0.403 μB per atom



> The lowest size of the total moment belongs to which entry?

LuZn4FeO7